AlGeMo: relaxed, PBE.

POSCAR file:
```
AlGeMo
1.0
4.537 -0.001 -0.001
-2.269 4.848 -0.320
-2.269 -1.860 4.489
Al Ge Mo
2 2 2
Cartesian
0.001 0.733 1.023
-0.002 2.254 3.145
-2.269 2.511 1.356
2.268 0.477 2.812
0.000 3.453 0.679
0.000 -0.466 3.488
```

Values from the calculation:
total energy	-6.380	eV/atom
crystal system	orthorhombic
energy relative to the elements	0.017	eV per atom
SG	Immm (71)